# 1
## CsSn3Sb (GGA-PBE)

Data for an optimized crystal structure of CsSn3Sb.

Cell and atoms, written as POSCAR:
```
CsSn3Sb
1.0
-1.526 -2.615 -5.301
5.876 -1.268 -1.066
-0.644 -5.369 2.834
Sn Cs Sb
3 1 1
direct
0.000 0.000 0.500 Sn
0.000 0.500 0.000 Sn
0.500 0.000 0.000 Sn
0.000 0.000 0.000 Cs
0.500 0.500 0.500 Sb
```

Uncorrected energy ... -9.62 eV per cell
Density of states at the Fermi level ... 5.7 states/eV per cell
Excess energy over the best structure of this formula in the dataset ... 1638 meV per atom
Theoretical density ... 4458 kg/m3
SG ... Pm-3m (221)

=====

# 2
## Li6DyCd2 (GGA-PBE)

Data for an optimized crystal structure of Li6DyCd2.

Cell and atoms, written as POSCAR:
```
Li6DyCd2
1.0
-2.185 -0.220 3.476
3.225 -1.677 1.921
3.625 10.328 2.932
Dy Li Cd
1 6 2
direct
0.000 0.000 0.000 Dy
0.000 0.500 0.297 Li
0.000 0.000 0.500 Li
0.500 0.500 0.500 Li
0.500 0.000 0.703 Li
0.500 0.000 0.297 Li
0.000 0.500 0.703 Li
0.500 0.500 0.131 Cd
0.500 0.500 0.869 Cd
```

Uncorrected energy ... -18.72 eV per cell
Density of states at the Fermi level ... 4.5 states/eV per cell
Energy of formation from the pure elements ... -0.0892 eV per atom
Theoretical density ... 3719 kg/m3
SG ... P4/mmm (123)

=====

# 3
## CrHgPb (GGA-PBE)

Data for an optimized crystal structure of CrHgPb.

Cell and atoms, written as POSCAR:
```
CrHgPb
1.0
6.673 -0.425 0.000
5.277 4.107 0.000
-5.975 -1.841 2.371
Hg Pb Cr
1 1 1
direct
0.355 0.355 0.000 Hg
0.654 0.654 0.000 Pb
0.992 0.992 0.000 Cr
```

Uncorrected energy ... -12.41 eV per cell
Density of states at the Fermi level ... 1.7 states/eV per cell
Energy of formation from the pure elements ... 0.4073 eV per atom
Excess energy over the best structure of this formula in the dataset ... 0 meV per atom
Theoretical density ... 10863 kg/m3
SG ... I4mm (107)

=====

# 4
## Ti2SnS (GGA-PBE)

Data for an optimized crystal structure of Ti2SnS.

Cell and atoms, written as POSCAR:
```
Ti2SnS
1.0
2.900 -3.505 -0.940
-1.050 -3.050 -3.343
2.413 -0.017 -3.969
Ti Sn S
2 1 1
direct
0.250 0.250 0.250 Ti
0.750 0.750 0.750 Ti
0.500 0.500 0.500 Sn
0.000 0.000 0.000 S
```

Uncorrected energy ... -24.98 eV per cell
Density of states at the Fermi level ... 3.6 states/eV per cell
Excess energy over the best structure of this formula in the dataset ... 566 meV per atom
Theoretical density ... 5776 kg/m3
SG ... Fm-3m (225)

=====

# 5
## PmCo4Ge2 (GGA-PBE)

Data for an optimized crystal structure of PmCo4Ge2.

Cell and atoms, written as POSCAR:
```
PmCo4Ge2
1.0
-0.041 3.553 -1.887
-3.428 1.404 -1.570
-2.744 5.125 5.421
Ge Co Pm
2 4 1
direct
0.750 0.750 0.749 Ge
0.250 0.250 0.251 Ge
0.554 0.554 0.339 Co
0.855 0.855 0.434 Co
0.145 0.145 0.566 Co
0.446 0.446 0.661 Co
0.000 0.000 0.000 Pm
```

Uncorrected energy ... -44.56 eV per cell
Density of states at the Fermi level ... 10.4 states/eV per cell
Energy of formation from the pure elements ... -0.3079 eV per atom
Theoretical density ... 8199 kg/m3
SG ... R-3m (166)

=====

# 6
## LaSmEr2Se4 (GGA-PBE)

Data for an optimized crystal structure of LaSmEr2Se4.

Cell and atoms, written as POSCAR:
```
LaSmEr2Se4
1.0
4.064 0.000 0.000
0.000 7.355 -0.253
0.000 2.482 6.631
Er Se La Sm
2 4 1 1
direct
0.500 0.000 0.500 Er
0.000 0.000 0.000 Er
0.000 0.770 0.739 Se
0.000 0.230 0.261 Se
0.500 0.233 0.752 Se
0.500 0.767 0.248 Se
0.500 0.500 0.000 La
0.000 0.500 0.500 Sm
```

Uncorrected energy ... -47.16 eV per cell
Density of states at the Fermi level ... 4.1 states/eV per cell
Theoretical density ... 7770 kg/m3
SG ... P2/m (10)

=====

# 7
## LaYEr3Tm (GGA-PBE)

Data for an optimized crystal structure of LaYEr3Tm.

Cell and atoms, written as POSCAR:
```
LaYEr3Tm
1.0
5.631 0.000 0.000
-2.815 9.581 1.528
0.000 -1.266 7.005
Er La Y Tm
6 2 2 2
direct
0.779 0.558 0.758 Er
0.221 0.442 0.242 Er
0.524 0.049 0.726 Er
0.163 0.327 0.718 Er
0.476 0.951 0.274 Er
0.837 0.673 0.282 Er
0.356 0.713 0.974 La
0.644 0.287 0.026 La
0.050 0.101 0.276 Y
0.950 0.899 0.724 Y
0.349 0.698 0.548 Tm
0.651 0.302 0.452 Tm
```

Uncorrected energy ... -56.53 eV per cell
Density of states at the Fermi level ... 19.7 states/eV per cell
Energy of formation from the pure elements ... 0.2147 eV per atom
Theoretical density ... 7675 kg/m3
SG ... C2/m (12)

=====

# 8
## Tm5Tl2Ga (GGA-PBE)

Data for an optimized crystal structure of Tm5Tl2Ga.

Cell and atoms, written as POSCAR:
```
Tm5Tl2Ga
1.0
4.442 0.000 0.000
-2.221 5.577 0.000
0.000 0.000 17.249
Tm Tl Ga
10 4 2
direct
0.651 0.303 0.962 Tm
0.349 0.697 0.038 Tm
0.651 0.303 0.538 Tm
0.046 0.093 0.101 Tm
0.450 0.900 0.250 Tm
0.046 0.093 0.399 Tm
0.954 0.907 0.601 Tm
0.349 0.697 0.462 Tm
0.954 0.907 0.899 Tm
0.550 0.100 0.750 Tm
0.760 0.519 0.347 Tl
0.240 0.481 0.653 Tl
0.760 0.519 0.153 Tl
0.240 0.481 0.847 Tl
0.166 0.333 0.250 Ga
0.834 0.667 0.750 Ga
```

Uncorrected energy ... -63.12 eV per cell
Density of states at the Fermi level ... 13.8 states/eV per cell
Energy of formation from the pure elements ... -0.1802 eV per atom
Excess energy over the best structure of this formula in the dataset ... 168 meV per atom
Theoretical density ... 10284 kg/m3
SG ... Cmcm (63)

=====

# 9
## EuSCl (GGA-PBE)

Data for an optimized crystal structure of EuSCl.

Cell and atoms, written as POSCAR:
```
EuSCl
1.0
3.761 0.000 0.000
0.000 3.761 0.000
-1.880 -1.880 5.200
Eu Cl S
1 1 1
direct
0.645 0.645 0.290 Eu
0.318 0.318 0.635 Cl
0.038 0.038 0.075 S
```

Uncorrected energy ... -20.80 eV per cell
Density of states at the Fermi level ... 4.6 states/eV per cell
Excess energy over the best structure of this formula in the dataset ... 129 meV per atom
Theoretical density ... 4955 kg/m3
SG ... I4mm (107)

=====

# 10
## Ba4NO2 (GGA-PBE)

Data for an optimized crystal structure of Ba4NO2.

Cell and atoms, written as POSCAR:
```
Ba4NO2
1.0
6.700 0.000 0.000
0.000 6.700 0.000
-3.350 -3.350 4.924
Ba O N
4 2 1
direct
0.134 0.134 0.730 Ba
0.866 0.405 0.270 Ba
0.405 0.866 0.270 Ba
0.595 0.595 0.730 Ba
0.250 0.750 0.500 O
0.750 0.250 0.500 O
0.500 0.500 0.000 N
```

Uncorrected energy ... -36.20 eV per cell
Density of states at the Fermi level ... 1.8 states/eV per cell
Theoretical density ... 4472 kg/m3
SG ... I-42m (121)

=====

# 11
## LiInBr4 (GGA-PBE)

Data for an optimized crystal structure of LiInBr4.

Cell and atoms, written as POSCAR:
```
LiInBr4
1.0
6.306 0.000 0.000
0.000 6.306 0.000
0.000 0.000 11.017
Li In Br
2 2 8
direct
0.000 0.000 0.500 Li
0.000 0.000 0.000 Li
0.000 0.500 0.250 In
0.500 0.000 0.750 In
0.765 0.262 0.119 Br
0.765 0.738 0.381 Br
0.738 0.765 0.881 Br
0.262 0.235 0.881 Br
0.262 0.765 0.619 Br
0.738 0.235 0.619 Br
0.235 0.738 0.119 Br
0.235 0.262 0.381 Br
```

Uncorrected energy ... -35.33 eV per cell
Density of states at the Fermi level ... 0.0 states/eV per cell
Excess energy over the best structure of this formula in the dataset ... 0 meV per atom
Theoretical density ... 3346 kg/m3
SG ... P-42c (112)

=====

# 12
## CoReMo (GGA-PBE)

Data for an optimized crystal structure of CoReMo.

Cell and atoms, written as POSCAR:
```
CoReMo
1.0
-3.412 0.893 -1.958
-3.379 -2.054 0.797
-3.038 1.795 1.956
Re Mo Co
1 1 1
direct
0.500 0.500 0.500 Re
0.000 0.000 0.000 Mo
0.750 0.750 0.750 Co
```

Uncorrected energy ... -28.39 eV per cell
Density of states at the Fermi level ... 3.6 states/eV per cell
Energy of formation from the pure elements ... 0.6638 eV per atom
Excess energy over the best structure of this formula in the dataset ... 677 meV per atom
Theoretical density ... 12201 kg/m3
SG ... F-43m (216)

=====

# 13
## MnAsPb3 (GGA-PBE)

Data for an optimized crystal structure of MnAsPb3.

Cell and atoms, written as POSCAR:
```
MnAsPb3
1.0
5.196 0.000 0.000
0.000 5.196 0.000
0.000 0.000 5.196
Pb As Mn
3 1 1
direct
0.500 0.000 0.000 Pb
0.000 0.000 0.500 Pb
0.000 0.500 0.000 Pb
0.500 0.500 0.500 As
0.000 0.000 0.000 Mn
```

Uncorrected energy ... -22.74 eV per cell
Density of states at the Fermi level ... 5.5 states/eV per cell
Energy of formation from the pure elements ... 0.4406 eV per atom
Excess energy over the best structure of this formula in the dataset ... 0 meV per atom
Theoretical density ... 8898 kg/m3
SG ... Pm-3m (221)

=====

# 14
## ZrAgBr (GGA-PBE)

Data for an optimized crystal structure of ZrAgBr.

Cell and atoms, written as POSCAR:
```
ZrAgBr
1.0
-2.163 2.546 -0.031
-0.304 -2.477 -2.220
-9.290 -7.773 9.948
Zr Ag Br
2 2 2
direct
0.656 0.312 0.647 Zr
0.656 0.312 0.353 Zr
0.388 0.775 0.000 Ag
0.323 0.645 0.500 Ag
0.322 0.645 0.229 Br
0.322 0.645 0.771 Br
```

Uncorrected energy ... -28.26 eV per cell
Density of states at the Fermi level ... 4.3 states/eV per cell
Excess energy over the best structure of this formula in the dataset ... 46 meV per atom
Theoretical density ... 6117 kg/m3
SG ... Amm2 (38)

=====

# 15
## KFeI2N (GGA-PBE)

Data for an optimized crystal structure of KFeI2N.

Cell and atoms, written as POSCAR:
```
KFeI2N
1.0
5.818 0.000 0.000
0.000 5.818 0.000
0.000 0.000 3.586
Fe I N K
1 2 1 1
direct
0.000 0.000 0.000 Fe
0.500 0.000 0.000 I
0.000 0.500 0.000 I
0.000 0.000 0.500 N
0.500 0.500 0.500 K
```

Uncorrected energy ... -21.53 eV per cell
Density of states at the Fermi level ... 5.5 states/eV per cell
Excess energy over the best structure of this formula in the dataset ... 0 meV per atom
Theoretical density ... 4963 kg/m3
SG ... P4/mmm (123)

=====

# 16
## Ho5Bi2Ir2 (GGA-PBE)

Data for an optimized crystal structure of Ho5Bi2Ir2.

Cell and atoms, written as POSCAR:
```
Ho5Bi2Ir2
1.0
-1.359 -4.222 -6.425
5.489 4.141 -3.882
2.669 -7.175 4.151
Bi Ir Ho
4 4 10
direct
0.500 0.290 0.580 Bi
0.000 0.210 0.420 Bi
0.500 0.710 0.420 Bi
0.000 0.790 0.580 Bi
0.634 0.864 0.000 Ir
0.366 0.136 0.000 Ir
0.866 0.364 0.000 Ir
0.134 0.636 0.000 Ir
0.839 0.779 0.231 Ho
0.339 0.721 0.769 Ho
0.161 0.452 0.231 Ho
0.161 0.221 0.769 Ho
0.661 0.048 0.769 Ho
0.339 0.952 0.231 Ho
0.500 0.500 0.000 Ho
0.839 0.548 0.769 Ho
0.000 0.000 0.000 Ho
0.661 0.279 0.231 Ho
```

Uncorrected energy ... -111.37 eV per cell
Density of states at the Fermi level ... 12.3 states/eV per cell
Energy of formation from the pure elements ... -0.8124 eV per atom
Theoretical density ... 11293 kg/m3
SG ... Cmce (64)

=====

# 17
## Tb3DyTm2As6 (GGA-PBE)

Data for an optimized crystal structure of Tb3DyTm2As6.

Cell and atoms, written as POSCAR:
```
Tb3DyTm2As6
1.0
-1.552 4.142 5.578
-2.496 -6.661 -0.289
6.845 -1.359 1.400
Tm As Tb Dy
2 6 3 1
direct
0.333 0.667 0.000 Tm
0.667 0.333 0.000 Tm
0.417 0.082 0.246 As
0.253 0.253 0.754 As
0.583 0.918 0.754 As
0.747 0.747 0.246 As
0.082 0.417 0.246 As
0.918 0.583 0.754 As
0.834 0.166 0.500 Tb
0.500 0.500 0.500 Tb
0.166 0.834 0.500 Tb
0.000 0.000 0.000 Dy
```

Uncorrected energy ... -73.66 eV per cell
Density of states at the Fermi level ... 1.9 states/eV per cell
Energy of formation from the pure elements ... -1.5273 eV per atom
Theoretical density ... 8041 kg/m3
SG ... C2/m (12)

=====

# 18
## PrDyAlZn (GGA-PBE)

Data for an optimized crystal structure of PrDyAlZn.

Cell and atoms, written as POSCAR:
```
PrDyAlZn
1.0
-1.588 -1.116 3.075
-1.773 -2.580 -1.851
5.628 -4.724 1.192
Al Pr Zn Dy
1 1 1 1
direct
0.500 0.500 0.124 Al
0.000 0.000 0.856 Pr
0.500 0.500 0.584 Zn
0.000 0.000 0.364 Dy
```

Uncorrected energy ... -15.79 eV per cell
Density of states at the Fermi level ... 3.4 states/eV per cell
Energy of formation from the pure elements ... -0.3490 eV per atom
Excess energy over the best structure of this formula in the dataset ... 0 meV per atom
Theoretical density ... 6676 kg/m3
SG ... P4mm (99)

=====

# 19
## La5YEr3 (GGA-PBE)

Data for an optimized crystal structure of La5YEr3.

Cell and atoms, written as POSCAR:
```
La5YEr3
1.0
3.201 10.497 1.368
-3.201 10.497 1.368
0.000 5.590 10.333
La Er Y
10 6 2
direct
0.409 0.591 0.750 La
0.997 0.642 0.027 La
0.003 0.358 0.973 La
0.358 0.003 0.473 La
0.175 0.539 0.617 La
0.539 0.175 0.117 La
0.642 0.997 0.527 La
0.461 0.825 0.883 La
0.825 0.461 0.383 La
0.591 0.409 0.250 La
0.593 0.061 0.827 Er
0.061 0.593 0.327 Er
0.407 0.939 0.173 Er
0.000 0.000 0.500 Er
0.000 0.000 0.000 Er
0.939 0.407 0.673 Er
0.104 0.896 0.250 Y
0.896 0.104 0.750 Y
```

Uncorrected energy ... -84.87 eV per cell
Density of states at the Fermi level ... 27.1 states/eV per cell
Energy of formation from the pure elements ... 0.2616 eV per atom
Theoretical density ... 6613 kg/m3
SG ... C2/c (15)

=====

# 20
## Ho3Hg12Au5 (GGA-PBE)

Data for an optimized crystal structure of Ho3Hg12Au5.

Cell and atoms, written as POSCAR:
```
Ho3Hg12Au5
1.0
14.602 0.000 0.000
-4.867 13.767 0.000
-4.867 -6.883 11.922
Hg Au Ho
48 20 12
direct
0.831 0.924 0.056 Hg
0.169 0.076 0.944 Hg
0.593 0.868 0.424 Hg
0.632 0.056 0.225 Hg
0.831 0.907 0.275 Hg
0.868 0.275 0.444 Hg
0.368 0.424 0.093 Hg
0.275 0.407 0.831 Hg
0.275 0.868 0.944 Hg
0.225 0.669 0.093 Hg
0.907 0.831 0.775 Hg
0.669 0.225 0.593 Hg
0.093 0.924 0.368 Hg
0.725 0.132 0.056 Hg
0.132 0.725 0.556 Hg
0.368 0.944 0.775 Hg
0.556 0.225 0.132 Hg
0.076 0.169 0.444 Hg
0.924 0.093 0.868 Hg
0.444 0.669 0.076 Hg
0.907 0.076 0.632 Hg
0.225 0.556 0.632 Hg
0.944 0.576 0.169 Hg
0.775 0.444 0.368 Hg
0.407 0.275 0.331 Hg
0.056 0.424 0.831 Hg
0.868 0.593 0.924 Hg
0.576 0.632 0.407 Hg
0.444 0.775 0.868 Hg
0.132 0.407 0.076 Hg
0.056 0.632 0.725 Hg
0.725 0.593 0.169 Hg
0.424 0.056 0.331 Hg
0.924 0.831 0.556 Hg
0.556 0.331 0.924 Hg
0.593 0.725 0.669 Hg
0.669 0.444 0.576 Hg
0.576 0.944 0.669 Hg
0.169 0.093 0.725 Hg
0.632 0.576 0.907 Hg
0.093 0.169 0.225 Hg
0.944 0.368 0.275 Hg
0.076 0.907 0.132 Hg
0.331 0.556 0.424 Hg
0.775 0.331 0.907 Hg
0.424 0.368 0.593 Hg
0.331 0.775 0.407 Hg
0.407 0.132 0.576 Hg
0.750 0.125 0.875 Au
0.375 0.125 0.750 Au
0.000 0.500 0.500 Au
0.125 0.375 0.250 Au
0.000 0.500 0.000 Au
0.500 0.000 0.500 Au
0.000 0.000 0.500 Au
0.375 0.250 0.125 Au
0.000 0.000 0.000 Au
0.500 0.500 0.500 Au
0.750 0.625 0.375 Au
0.625 0.750 0.875 Au
0.500 0.500 0.000 Au
0.500 0.000 0.000 Au
0.875 0.625 0.750 Au
0.125 0.750 0.375 Au
0.250 0.375 0.625 Au
0.875 0.250 0.625 Au
0.625 0.875 0.250 Au
0.250 0.875 0.125 Au
0.375 0.750 0.625 Ho
0.625 0.250 0.375 Ho
0.125 0.250 0.875 Ho
0.875 0.750 0.125 Ho
0.625 0.375 0.750 Ho
0.750 0.875 0.625 Ho
0.375 0.625 0.250 Ho
0.125 0.875 0.750 Ho
0.250 0.125 0.375 Ho
0.875 0.125 0.250 Ho
0.250 0.625 0.875 Ho
0.750 0.375 0.125 Ho
```

Uncorrected energy ... -129.20 eV per cell
Density of states at the Fermi level ... 43.4 states/eV per cell
Energy of formation from the pure elements ... 0.0720 eV per atom
Theoretical density ... 10772 kg/m3
SG ... Ia-3d (230)

=====

# 21
## MnTl2Se (GGA-PBE)

Data for an optimized crystal structure of MnTl2Se.

Cell and atoms, written as POSCAR:
```
MnTl2Se
1.0
-2.932 -1.215 -2.879
-2.510 -0.505 5.823
-2.411 3.420 0.740
Mn Se Tl
1 1 2
direct
0.000 0.500 0.500 Mn
0.500 0.500 0.000 Se
0.500 0.000 0.500 Tl
0.000 0.000 0.000 Tl
```

Uncorrected energy ... -16.69 eV per cell
Density of states at the Fermi level ... 1.7 states/eV per cell
Excess energy over the best structure of this formula in the dataset ... 229 meV per atom
Theoretical density ... 8792 kg/m3
SG ... C2/m (12)